1.
La2Ga3Ni4Ir: optimized geometry, PBE.

Structure (POSCAR):
```
La2Ga3Ni4Ir
1.0
-3.350 2.276 -0.785
-2.084 -3.415 -1.007
-2.999 -1.048 9.756
La Ga Ni Ir
2 3 4 1
direct
0.500 0.000 0.253
0.000 0.500 0.747
0.000 0.000 0.500
0.500 0.000 0.878
0.000 0.500 0.122
0.500 0.500 0.000
0.000 0.000 0.000
0.500 0.000 0.639
0.000 0.500 0.361
0.500 0.500 0.500
```

## Properties
calculated formation energy	-0.49	eV/atom
spin magnetization	0.0000	μB/atom
space-group type	P-4m2 (115)

=====

2.
La2Ga4NiIr3: optimized geometry, PBE.

Structure (POSCAR):
```
La2Ga4NiIr3
1.0
-0.391 -4.232 0.245
-0.224 -0.225 -4.246
10.422 -0.991 -0.496
La Ga Ni Ir
2 4 1 3
direct
0.500 0.000 0.255
0.000 0.500 0.745
0.500 0.500 0.000
0.000 0.000 0.000
0.500 0.000 0.622
0.000 0.500 0.378
0.500 0.500 0.500
0.000 0.000 0.500
0.500 0.000 0.864
0.000 0.500 0.136
```

## Properties
calculated formation energy	-0.69	eV/atom
spin magnetization	0.0000	μB/atom
space-group type	P-4m2 (115)

=====

3.
LaGa2NiIr: optimized geometry, PBE.

Structure (POSCAR):
```
LaGa2NiIr
1.0
-2.193 -0.899 -3.461
3.510 0.235 -2.285
0.202 -4.815 3.665
La Ga Ni Ir
1 2 1 1
direct
0.000 0.000 0.000
0.627 0.627 0.255
0.373 0.373 0.745
0.250 0.750 0.500
0.750 0.250 0.500
```

## Properties
calculated formation energy	-0.62	eV/atom
spin magnetization	0.0000	μB/atom
space-group type	I-4m2 (119)

=====

4.
La2GaNiIr: optimized geometry, PBE.

Structure (POSCAR):
```
La2GaNiIr
1.0
4.234 0.000 0.000
0.000 4.234 0.000
0.000 0.000 13.301
La Ga Ni Ir
4 2 2 2
direct
0.000 0.500 0.676
0.000 0.500 0.106
0.500 0.000 0.894
0.500 0.000 0.324
0.500 0.000 0.591
0.000 0.500 0.409
0.000 0.000 0.500
0.500 0.500 0.500
0.500 0.000 0.117
0.000 0.500 0.883
```

## Properties
calculated formation energy	-0.60	eV/atom
spin magnetization	0.0000	μB/atom
space-group type	P4/nmm (129)

=====

5.
LaGaNiIr: optimized geometry, PBE.

Structure (POSCAR):
```
LaGaNiIr
1.0
4.164 0.000 0.000
0.000 3.926 0.000
0.000 -1.963 4.693
La Ga Ni Ir
1 1 1 1
direct
0.500 0.208 0.415
0.000 0.915 0.831
0.500 0.477 0.955
0.000 0.628 0.255
```

## Properties
calculated formation energy	-0.42	eV/atom
spin magnetization	0.0000	μB/atom
space-group type	Amm2 (38)

=====

6.
LaNpGa5Ir2: optimized geometry, PBE.

Structure (POSCAR):
```
LaNpGa5Ir2
1.0
-1.627 -1.199 -4.461
4.537 0.477 -1.783
1.381 -7.488 1.509
La Np Ga Ir
1 1 5 2
direct
0.000 0.000 0.500
0.000 0.000 0.000
0.000 0.500 0.212
0.500 0.000 0.212
0.000 0.500 0.788
0.500 0.000 0.788
0.500 0.500 0.500
0.500 0.500 0.190
0.500 0.500 0.810
```

## Properties
calculated formation energy	-0.23	eV/atom
spin magnetization	0.5369	μB/atom
space-group type	P4/mmm (123)

=====

7.
LaGaIrO6: optimized geometry, PBE.

Structure (POSCAR):
```
LaGaIrO6
1.0
-1.927 3.231 3.622
-0.737 -5.151 0.438
8.829 -0.803 5.414
La Ga Ir O
2 2 2 12
direct
0.000 0.000 0.000
0.000 0.000 0.500
0.667 0.333 0.250
0.333 0.667 0.750
0.333 0.667 0.250
0.667 0.333 0.750
0.627 0.635 0.145
0.008 0.373 0.145
0.373 0.008 0.645
0.992 0.627 0.855
0.365 0.373 0.355
0.008 0.635 0.355
0.635 0.008 0.855
0.627 0.992 0.355
0.992 0.365 0.645
0.365 0.992 0.145
0.635 0.627 0.645
0.373 0.365 0.855
```

## Properties
raw formation energy	-1.764	eV per atom
spin magnetization	0.3206	μB/atom
space-group type	P-31c (163)

=====

8.
La2GaIrO6: optimized geometry, PBE.

Structure (POSCAR):
```
La2GaIrO6
1.0
-5.174 0.604 -1.789
-0.924 -5.641 0.769
-2.402 1.405 7.422
La Ga Ir O
4 2 2 12
direct
0.500 0.771 0.235
0.000 0.229 0.735
0.500 0.771 0.765
0.000 0.229 0.265
0.500 0.253 0.500
0.000 0.747 0.000
0.000 0.744 0.500
0.500 0.256 0.000
0.500 0.218 0.256
0.500 0.218 0.744
0.000 0.782 0.244
0.000 0.782 0.756
0.243 0.010 0.500
0.757 0.010 0.500
0.236 0.470 0.500
0.764 0.470 0.500
0.736 0.530 0.000
0.264 0.530 0.000
0.257 0.990 0.000
0.743 0.990 0.000
```

## Properties
raw formation energy	-2.198	eV per atom
spin magnetization	0.0000	μB/atom
space-group type	Pmmn (59)

=====

no.,final energy (eV/atom)
1,-5.58
2,-6.12
3,-5.74
4,-6.10
5,-6.06
6,-5.87
7,-6.94
8,-7.35